# 1
SrCdAg2, optimized geometry, DFT GGA-PBE; crystal system = monoclinic; DFT formation energy = -104.6 meV per atom
1.0
4.8859 -0.0074 -0.0059
-4.8452 6.4733 0.0202
0.0164 2.7733 3.2137
Ag Cd Sr
2 1 1
direct
0.0000 0.0000 0.0000 Ag
0.0000 0.5000 0.5000 Ag
0.5000 0.5000 0.0000 Cd
0.5000 0.0000 0.5000 Sr

# 2
TlH3Pt, optimized geometry, DFT GGA-PBE; crystal system = monoclinic
1.0
-3.9007 -3.8255 1.2711
-2.7558 1.5390 -4.4979
3.8731 -3.8727 -0.4425
Tl H Pt
2 6 2
direct
0.4142 0.6165 0.0844 Tl
0.9142 0.0844 0.6165 Tl
0.8885 0.6477 0.0641 H
0.3885 0.0641 0.6477 H
0.0711 0.9611 0.0099 H
0.5711 0.0099 0.9611 H
0.7091 0.5361 0.6042 H
0.2091 0.6042 0.5361 H
0.5157 0.7961 0.6378 Pt
0.0157 0.6378 0.7961 Pt

# 3
MgScTc, optimized geometry, DFT GGA-PBE; crystal system = orthorhombic; DFT formation energy = 87.9 meV per atom
1.0
-0.9416 -6.7179 2.7151
1.4856 -5.6756 4.0139
-2.2671 0.2140 1.8652
Mg Sc Tc
1 1 1
direct
0.0145 0.0145 0.9855 Mg
0.3146 0.3146 0.6854 Sc
0.6709 0.6709 0.3291 Tc

# 4
TlAuC, optimized geometry, DFT GGA-PBE; crystal system = tetragonal; DFT formation energy = 1087.1 meV per atom
1.0
5.5281 0.0000 0.0000
0.0000 5.5281 0.0000
0.0000 0.0000 4.0120
Tl Au C
2 2 2
direct
0.0000 0.0000 0.5000 Tl
0.5000 0.5000 0.5000 Tl
0.0000 0.5000 0.0002 Au
0.5000 0.0000 0.9998 Au
0.0000 0.5000 0.5002 C
0.5000 0.0000 0.4998 C

| no. | E_tot (eV/atom) |
| --- | --- |
| 1 | -2.179 |
| 2 | -3.647 |
| 3 | -6.009 |
| 4 | -3.869 |